Li2ScCd8 after structural relaxation, computed with PBE-GGA.

a = 4.705 Å, b = 7.533 Å, c = 7.968 Å
α = 118.21°, β = 107.17°, γ = 90.00°
Atoms (fractional coordinates):
Cd  0.355  0.555  0.709
Cd  0.000  0.700  0.000
Cd  0.000  0.300  0.000
Cd  0.645  0.846  0.291
Li  0.793  0.293  0.586
Cd  0.645  0.445  0.291
Li  0.207  0.707  0.414
Cd  0.159  0.159  0.318
Cd  0.355  0.154  0.709
Cd  0.841  0.841  0.682
Sc  0.500  0.000  0.000

***

LiSc2Cd2 after structural relaxation, computed with PBE-GGA.

a = 4.169 Å, b = 4.169 Å, c = 7.752 Å
α = 74.40°, β = 74.40°, γ = 90.00°
Last column: magnetic moment on the atom in μB.
Atoms (fractional coordinates):
Sc  0.250  0.750  0.500  0.26
Sc  0.750  0.250  0.500  0.26
Cd  0.404  0.404  0.192  0.00
Cd  0.596  0.596  0.808  0.00
Li  0.000  0.000  0.000  0.00

***

Looking at E_form for the records above, in order, we have -163 83 meV per atom.